Material: BaSrU2O8
Method: DFT, PBE-GGA
State: relaxed

- D(E_F): 0.000 states/eV/atom
- Magnetization: 0.00 μB per atom
- Uncorrected energy: -102.0 eV/cell
- Formation energy from raw total energies: -3.0090 eV/atom

Lattice parameters (Å, degrees): 5.753 5.753 6.852 114.82 114.82 90.00
Positions (direct):
O (0.606, 0.181, 0.798)
O (0.192, 0.617, 0.798)
O (0.383, 0.394, 0.202)
O (0.819, 0.808, 0.202)
O (0.940, 0.432, 0.289)
O (0.142, 0.060, 0.711)
O (0.349, 0.858, 0.289)
O (0.568, 0.651, 0.711)
U (0.250, 0.750, 0.500)
U (0.500, 0.500, 0.000)
Sr (0.000, 0.000, 0.000)
Ba (0.750, 0.250, 0.500)

=====

Material: BiIrRh3
Method: DFT, PBE-GGA
State: relaxed

- Formation energy: 1.028 eV/atom
- D(E_F): 1.486 states/eV/atom
- Magnetization: 0.00 μB per atom
- Uncorrected energy: -29.7 eV/cell

Lattice parameters (Å, degrees): 4.764 4.764 4.764 90.00 90.00 90.00
Positions (direct):
Rh (0.000, 0.000, 0.500)
Rh (0.500, 0.000, 0.000)
Rh (0.000, 0.500, 0.000)
Bi (0.500, 0.500, 0.500)
Ir (0.000, 0.000, 0.000)